Record 1
Crystalline MgNiSnSe at its relaxed geometry. Source: Alexandria, functional PBE.

a b c (Å): 3.7399 3.7399 19.9410
angles (deg): 90.00 90.00 120.00
Fractional positions:
Mg 0.0000 0.0000 0.0000
Mg 0.3333 0.6667 0.6667
Mg 0.6667 0.3333 0.3333
Ni 0.0000 0.0000 0.5247
Ni 0.3333 0.6667 0.1914
Ni 0.6667 0.3333 0.8581
Sn 0.0000 0.0000 0.7832
Sn 0.3333 0.6667 0.4499
Sn 0.6667 0.3333 0.1166
Se 0.0000 0.0000 0.2541
Se 0.3333 0.6667 0.9208
Se 0.6667 0.3333 0.5875

## Properties
Space group: No. 160
Formation energy without anion corrections (kJ/mol of atoms): -31.4
Energy relative to the lowest polymorph listed for this composition (meV per atom): 130.0
Size of the total moment (μB per atom): 0.0000

***

Record 2
Crystalline Al2RhAu at its relaxed geometry. Source: Alexandria, functional PBE.

a b c (Å): 6.8714 6.8714 5.6641
angles (deg): 90.00 90.00 90.00
Fractional positions:
Al 0.2359 0.2500 0.1250
Al 0.2500 0.7359 0.3750
Al 0.2500 0.7641 0.8750
Al 0.2641 0.2500 0.6250
Al 0.7359 0.7500 0.6250
Al 0.7500 0.2359 0.8750
Al 0.7500 0.2641 0.3750
Al 0.7641 0.7500 0.1250
Rh 0.0000 0.0000 0.0000
Rh 0.0000 0.5000 0.2500
Rh 0.5000 0.0000 0.7500
Rh 0.5000 0.5000 0.5000
Au 0.0000 0.0000 0.5000
Au 0.0000 0.5000 0.7500
Au 0.5000 0.0000 0.2500
Au 0.5000 0.5000 0.0000

## Properties
Space group: No. 122
Energy relative to the lowest polymorph listed for this composition (meV per atom): 408.2
Size of the total moment (μB per atom): 0.0000
Energy relative to the elements (meV/atom): -271

***

Record 3
Crystalline TmNiAgSn at its relaxed geometry. Source: Alexandria, functional PBE.

a b c (Å): 6.7086 6.7086 6.7086
angles (deg): 90.00 90.00 90.00
Fractional positions:
Tm 0.0000 0.0000 0.0000
Tm 0.0000 0.5000 0.5000
Tm 0.5000 0.0000 0.5000
Tm 0.5000 0.5000 0.0000
Ni 0.2500 0.2500 0.7500
Ni 0.2500 0.7500 0.2500
Ni 0.7500 0.2500 0.2500
Ni 0.7500 0.7500 0.7500
Ag 0.2500 0.2500 0.2500
Ag 0.2500 0.7500 0.7500
Ag 0.7500 0.2500 0.7500
Ag 0.7500 0.7500 0.2500
Sn 0.0000 0.0000 0.5000
Sn 0.0000 0.5000 0.0000
Sn 0.5000 0.0000 0.0000
Sn 0.5000 0.5000 0.5000

## Properties
Space group: No. 216
Size of the total moment (μB per atom): 0.0000
Energy relative to the elements (meV/atom): -374

***

Record 4
Crystalline ZrRh2W at its relaxed geometry. Source: Alexandria, functional PBE.

a b c (Å): 3.9390 3.9390 8.4427
angles (deg): 90.00 90.00 90.00
Fractional positions:
Zr 0.0000 0.0000 0.0000
Zr 0.5000 0.5000 0.5000
Rh 0.0000 0.0000 0.5000
Rh 0.0000 0.5000 0.2500
Rh 0.5000 0.0000 0.7500
Rh 0.5000 0.5000 0.0000
W 0.0000 0.5000 0.7500
W 0.5000 0.0000 0.2500

## Properties
Space group: No. 119
Energy relative to the lowest polymorph listed for this composition (meV per atom): 153.8
Size of the total moment (μB per atom): 0.0000
Energy relative to the elements (meV/atom): -201

***

Record 5
Crystalline AlTl2AgSe4 at its relaxed geometry. Source: Alexandria, functional PBE.

a b c (Å): 7.1414 7.1414 8.9795
angles (deg): 90.00 90.00 90.00
Fractional positions:
Al 0.0000 0.0000 0.0000
Al 0.5000 0.5000 0.5000
Tl 0.0000 0.0000 0.5000
Tl 0.0000 0.5000 0.2500
Tl 0.5000 0.0000 0.7500
Tl 0.5000 0.5000 0.0000
Ag 0.0000 0.5000 0.7500
Ag 0.5000 0.0000 0.2500
Se 0.1980 0.2055 0.8582
Se 0.2055 0.8020 0.1418
Se 0.2945 0.6980 0.6418
Se 0.3020 0.2945 0.3582
Se 0.6980 0.7055 0.3582
Se 0.7055 0.3020 0.6418
Se 0.7945 0.1980 0.1418
Se 0.8020 0.7945 0.8582

## Properties
Space group: No. 82
Formation energy without anion corrections (kJ/mol of atoms): -39.8
Size of the total moment (μB per atom): 0.0000

***

Record 6
Crystalline CaZnP2 at its relaxed geometry. Source: Alexandria, functional PBE.

a b c (Å): 4.2545 3.7858 5.2743
angles (deg): 90.00 92.96 90.00
Fractional positions:
Ca 0.0000 0.0000 0.0000
Zn 0.5000 0.0000 0.5000
P 0.4410 0.5000 0.7902
P 0.5591 0.5000 0.2098

## Properties
Space group: No. 10
Size of the total moment (μB per atom): 0.0000
Energy relative to the elements (meV/atom): -473

***

Record 7
Crystalline CePm2ErBi4 at its relaxed geometry. Source: Alexandria, functional PBE.

a b c (Å): 7.8745 4.5548 7.8889
angles (deg): 90.00 109.45 90.00
Fractional positions:
Ce 0.0000 0.0000 0.0000
Pm 0.0000 0.5000 0.5000
Pm 0.5000 0.0000 0.5000
Er 0.5000 0.5000 0.0000
Bi 0.2526 0.5000 0.2466
Bi 0.2556 0.0000 0.7564
Bi 0.7444 0.0000 0.2436
Bi 0.7474 0.5000 0.7534

## Properties
Space group: No. 10
Size of the total moment (μB per atom): 0.0967
Energy relative to the elements (meV/atom): -869

***

Record 8
Crystalline Nd4InHg3 at its relaxed geometry. Source: Alexandria, functional PBE.

a b c (Å): 3.8154 3.8154 15.6660
angles (deg): 90.00 90.00 90.00
Fractional positions:
Nd 0.0000 0.0000 0.1235
Nd 0.0000 0.0000 0.3715
Nd 0.0000 0.0000 0.6285
Nd 0.0000 0.0000 0.8765
In 0.5000 0.5000 0.5000
Hg 0.5000 0.5000 0.0000
Hg 0.5000 0.5000 0.2480
Hg 0.5000 0.5000 0.7520

## Properties
Space group: No. 123
Size of the total moment (μB per atom): 0.1757
Energy relative to the elements (meV/atom): -473

***

Record 9
Crystalline PuTl2SeO6 at its relaxed geometry. Source: Alexandria, functional PBE.

a b c (Å): 6.6046 6.6046 6.6046
angles (deg): 128.26 128.26 76.20
Fractional positions:
Pu 0.0000 0.0000 0.0000
Tl 0.2500 0.7500 0.5000
Tl 0.7500 0.2500 0.5000
Se 0.5000 0.5000 0.0000
O 0.1813 0.1813 0.0000
O 0.2612 0.2612 0.5225
O 0.2612 0.7388 0.0000
O 0.7388 0.2612 0.0000
O 0.7388 0.7388 0.4775
O 0.8187 0.8187 0.0000

## Properties
Space group: No. 139
Formation energy without anion corrections (kJ/mol of atoms): -128.3
Size of the total moment (μB per atom): 0.1177

***

Record 10
Crystalline Nb2BW at its relaxed geometry. Source: Alexandria, functional PBE.

a b c (Å): 5.6310 3.2420 6.6730
angles (deg): 90.00 100.78 90.00
Fractional positions:
Nb 0.1250 0.2500 0.3826
Nb 0.2478 0.7500 0.0458
Nb 0.7522 0.2500 0.9542
Nb 0.8750 0.7500 0.6174
B 0.1537 0.2500 0.7753
B 0.8463 0.7500 0.2247
W 0.4095 0.7500 0.6655
W 0.5905 0.2500 0.3345

## Properties
Space group: No. 11
Size of the total moment (μB per atom): 0.0000
Energy relative to the elements (meV/atom): -62

***

Record 11
Crystalline Ho3Tl3CuTe8 at its relaxed geometry. Source: Alexandria, functional PBE.

a b c (Å): 8.6471 8.6471 9.6544
angles (deg): 116.59 116.59 60.02
Fractional positions:
Ho 0.0000 0.0000 0.0000
Ho 0.0000 0.5000 0.0000
Ho 0.5000 0.0000 0.0000
Tl 0.0000 0.5000 0.5000
Tl 0.5000 0.0000 0.5000
Tl 0.5000 0.5000 0.5000
Cu 0.5000 0.5000 0.0000
Te 0.2387 0.2387 0.2157
Te 0.2552 0.7213 0.1982
Te 0.2787 0.7448 0.8018
Te 0.2805 0.2805 0.8034
Te 0.7195 0.7195 0.1966
Te 0.7213 0.2552 0.1982
Te 0.7448 0.2787 0.8018
Te 0.7613 0.7613 0.7843

## Properties
Space group: No. 12
Formation energy without anion corrections (kJ/mol of atoms): -69.5
Size of the total moment (μB per atom): 0.0000

***

Record 12
Crystalline Cu3Tc2 at its relaxed geometry. Source: Alexandria, functional PBE.

a b c (Å): 2.6494 2.6494 32.7006
angles (deg): 90.00 90.00 120.00
Fractional positions:
Cu 0.0000 0.0000 0.0000
Cu 0.0000 0.0000 0.1984
Cu 0.0000 0.0000 0.8016
Cu 0.3333 0.6667 0.4683
Cu 0.3333 0.6667 0.6667
Cu 0.3333 0.6667 0.8651
Cu 0.6667 0.3333 0.1349
Cu 0.6667 0.3333 0.3333
Cu 0.6667 0.3333 0.5317
Tc 0.0000 0.0000 0.4011
Tc 0.0000 0.0000 0.5989
Tc 0.3333 0.6667 0.0677
Tc 0.3333 0.6667 0.2656
Tc 0.6667 0.3333 0.7344
Tc 0.6667 0.3333 0.9323

## Properties
Space group: No. 166
Energy relative to the lowest polymorph listed for this composition (meV per atom): 0.0
Size of the total moment (μB per atom): 0.0008
Energy relative to the elements (meV/atom): 282

***

Record 13
Crystalline AcMg6Zn2 at its relaxed geometry. Source: Alexandria, functional PBE.

a b c (Å): 4.4709 4.4709 10.6906
angles (deg): 90.00 90.00 90.00
Fractional positions:
Ac 0.0000 0.0000 0.0000
Mg 0.0000 0.0000 0.5000
Mg 0.0000 0.5000 0.2834
Mg 0.0000 0.5000 0.7166
Mg 0.5000 0.0000 0.2834
Mg 0.5000 0.0000 0.7166
Mg 0.5000 0.5000 0.5000
Zn 0.5000 0.5000 0.1209
Zn 0.5000 0.5000 0.8791

## Properties
Space group: No. 123
Size of the total moment (μB per atom): 0.0000
Energy relative to the elements (meV/atom): -135

***

Record 14
Crystalline Mg2ZnCdAu4 at its relaxed geometry. Source: Alexandria, functional PBE.

a b c (Å): 8.1359 8.1359 8.1359
angles (deg): 33.15 33.15 33.15
Fractional positions:
Mg 0.2492 0.2492 0.2492
Mg 0.7508 0.7508 0.7508
Zn 0.0000 0.0000 0.0000
Cd 0.5000 0.5000 0.5000
Au 0.1180 0.1180 0.1180
Au 0.3709 0.3709 0.3709
Au 0.6291 0.6291 0.6291
Au 0.8820 0.8820 0.8820

## Properties
Space group: No. 166
Size of the total moment (μB per atom): 0.0000
Energy relative to the elements (meV/atom): -410

***

Record 15
Crystalline Pm2DyCd6 at its relaxed geometry. Source: Alexandria, functional PBE.

a b c (Å): 8.7275 8.7275 3.4376
angles (deg): 90.00 90.00 120.00
Fractional positions:
Pm 0.3333 0.6667 0.0000
Pm 0.6667 0.3333 0.0000
Dy 0.0000 0.0000 0.0000
Cd 0.0000 0.3310 0.5000
Cd 0.0000 0.6690 0.5000
Cd 0.3310 0.0000 0.5000
Cd 0.3310 0.3310 0.5000
Cd 0.6690 0.0000 0.5000
Cd 0.6690 0.6690 0.5000

## Properties
Space group: No. 191
Size of the total moment (μB per atom): 0.0285
Energy relative to the elements (meV/atom): -332

***

Record 16
Crystalline AcHfGe2O8 at its relaxed geometry. Source: Alexandria, functional PBE.

a b c (Å): 5.9948 5.9948 5.9948
angles (deg): 107.32 107.32 113.87
Fractional positions:
Ac 0.0000 0.0000 0.0000
Hf 0.2500 0.7500 0.5000
Ge 0.5000 0.5000 0.0000
Ge 0.7500 0.2500 0.5000
O 0.3309 0.1317 0.8008
O 0.3309 0.5300 0.1992
O 0.3836 0.0506 0.3330
O 0.4700 0.6691 0.8008
O 0.7176 0.0506 0.6670
O 0.8683 0.6691 0.1992
O 0.9494 0.2824 0.3330
O 0.9494 0.6164 0.6670

## Properties
Space group: No. 119
Formation energy without anion corrections (kJ/mol of atoms): -221.7
Size of the total moment (μB per atom): 0.0000

***

Record 17
Crystalline PmYEr2Tm6 at its relaxed geometry. Source: Alexandria, functional PBE.

a b c (Å): 8.7071 8.7071 9.4177
angles (deg): 93.49 93.49 117.94
Fractional positions:
Pm 0.0264 0.9736 0.7500
Pm 0.9736 0.0264 0.2500
Y 0.4094 0.5906 0.2500
Y 0.5906 0.4094 0.7500
Er 0.1972 0.3050 0.5462
Er 0.3050 0.1972 0.0462
Er 0.6950 0.8028 0.9538
Er 0.8028 0.6950 0.4538
Tm 0.0212 0.5673 0.6817
Tm 0.1245 0.7511 0.0576
Tm 0.2489 0.8755 0.4424
Tm 0.2901 0.5084 0.8820
Tm 0.4327 0.9788 0.8183
Tm 0.4916 0.7099 0.6180
Tm 0.5084 0.2901 0.3820
Tm 0.5673 0.0212 0.1817
Tm 0.7099 0.4916 0.1180
Tm 0.7511 0.1245 0.5576
Tm 0.8755 0.2489 0.9424
Tm 0.9788 0.4327 0.3183

## Properties
Space group: No. 15
Size of the total moment (μB per atom): 0.0000
Energy relative to the elements (meV/atom): 122

***

Record 18
Crystalline LiHo2In9 at its relaxed geometry. Source: Alexandria, functional PBE.

a b c (Å): 4.6128 4.6128 13.7999
angles (deg): 90.00 90.00 90.00
Fractional positions:
Li 0.0000 0.0000 0.0000
Ho 0.0000 0.0000 0.3300
Ho 0.0000 0.0000 0.6700
In 0.0000 0.5000 0.1586
In 0.0000 0.5000 0.5000
In 0.0000 0.5000 0.8414
In 0.5000 0.0000 0.1586
In 0.5000 0.0000 0.5000
In 0.5000 0.0000 0.8414
In 0.5000 0.5000 0.0000
In 0.5000 0.5000 0.3331
In 0.5000 0.5000 0.6669

## Properties
Space group: No. 123
Size of the total moment (μB per atom): 0.0000
Energy relative to the elements (meV/atom): -300

***

Record 19
Crystalline CsSnH2 at its relaxed geometry. Source: Alexandria, functional PBE.

a b c (Å): 5.4424 5.6749 8.1013
angles (deg): 90.00 109.36 90.00
Fractional positions:
Cs 0.1230 0.2500 0.2616
Cs 0.8770 0.7500 0.7384
Sn 0.4684 0.2500 0.8968
Sn 0.5316 0.7500 0.1032
H 0.1291 0.2500 0.8871
H 0.3367 0.2500 0.6497
H 0.6633 0.7500 0.3503
H 0.8709 0.7500 0.1129

## Properties
Space group: No. 11
Energy relative to the lowest polymorph listed for this composition (meV per atom): 0.0
Size of the total moment (μB per atom): 0.0000

***

Record 20
Crystalline Pm3Pr2Nd6 at its relaxed geometry. Source: Alexandria, functional PBE.

a b c (Å): 17.5826 17.5826 17.5826
angles (deg): 164.16 164.16 22.47
Fractional positions:
Pm 0.0000 0.0000 0.0000
Pm 0.1970 0.1970 0.0000
Pm 0.8030 0.8030 0.0000
Pr 0.4547 0.4547 0.0000
Pr 0.5453 0.5453 0.0000
Nd 0.1214 0.6214 0.5000
Nd 0.2964 0.2964 0.0000
Nd 0.3786 0.8786 0.5000
Nd 0.6214 0.1214 0.5000
Nd 0.7036 0.7036 0.0000
Nd 0.8786 0.3786 0.5000

## Properties
Space group: No. 139
Energy relative to the lowest polymorph listed for this composition (meV per atom): 244.8
Size of the total moment (μB per atom): 0.0000
Energy relative to the elements (meV/atom): 256